(1)
The following is a PBE calculation of a geometry-optimized Ba8GeAs3Br4 structure, from the Alexandria database.

abc: 9.6031 9.6031 24.1460
angles: 90.00 90.00 120.00
Space group R-3m (No. 166, hexagonal axes)
Asymmetric unit:
Ba (0.0000, 0.0000, 0.2386) x6
Ba (0.0029, 0.5015, 0.7598) x18
Ge (0.0000, 0.0000, 0.5000) x3
As (0.0000, 0.5000, 0.5000) x9
Br (0.0000, 0.0000, 0.0000) x3
Br (0.0000, 0.5000, 0.0000) x9

Summary:
The raw formation energy comes out at -1458 meV/atom. The calculation puts the final energy at -3.998 eV/atom.

=====

(2)
The following is a PBE calculation of a geometry-optimized Nd3Sm2Tm8 structure, from the Alexandria database.

abc: 20.287 7.663 5.580
angles: 90.00 90.02 90.00
Space group C2/m (No. 12)
Asymmetric unit:
Nd (0.000, 0.000, 0.000) x2
Nd (0.000, 0.293, 0.500) x4
Sm (0.241, 0.000, 0.999) x4
Tm (0.109, 0.290, 0.000) x8
Tm (0.133, 0.000, 0.500) x4
Tm (0.167, 0.500, 0.501) x4

Summary:
The calculation puts the final energy at -4.318 eV/atom. For the energy relative to the lowest polymorph listed for this composition, the calculation gives 236 meV per atom.

=====

(3)
The following is a PBE calculation of a geometry-optimized LaTa2Mo structure, from the Alexandria database.

abc: 3.1668 3.1668 28.9813
angles: 90.00 90.00 120.00
Space group R-3m (No. 166, hexagonal axes)
Asymmetric unit:
La (0.0000, 0.0000, 0.0000) x3
Ta (0.0000, 0.0000, 0.2357) x6
Mo (0.0000, 0.0000, 0.5000) x3

Summary:
The calculation puts the final energy at -9.402 eV/atom. For the energy relative to the lowest polymorph listed for this composition, the calculation gives 258 meV per atom.

=====

(4)
The following is a PBE calculation of a geometry-optimized LaTbSmDy3 structure, from the Alexandria database.

abc: 19.955 5.661 7.063
angles: 90.00 90.51 90.00
Space group C2/m (No. 12)
Asymmetric unit:
La (0.145, 0.000, 0.032) x4
Tb (0.149, 0.000, 0.460) x4
Sm (0.054, 0.500, 0.265) x4
Dy (0.023, 0.000, 0.739) x4
Dy (0.164, 0.500, 0.732) x4
Dy (0.221, 0.500, 0.245) x4

Summary:
The calculation puts the final energy at -4.487 eV/atom.

=====

(5)
The following is a PBE calculation of a geometry-optimized Pm3Pr4Tl4 structure, from the Alexandria database.

abc: 3.765 9.615 19.696
angles: 90.00 90.00 90.00
Space group Immm (No. 71)
Asymmetric unit:
Pm (0.000, 0.000, 0.000) x2
Pm (0.000, 0.500, 0.094) x4
Pr (0.000, 0.323, 0.337) x8
Tl (0.000, 0.000, 0.274) x4
Tl (0.000, 0.221, 0.500) x4

Summary:
The calculation puts the final energy at -4.155 eV/atom.

=====

(6)
The following is a PBE calculation of a geometry-optimized Ta2CdAs structure, from the Alexandria database.

abc: 3.350 3.350 7.217
angles: 90.00 90.00 90.00
Space group P4mm (No. 99)
Asymmetric unit:
Ta (0.000, 0.000, 0.000) x1
Ta (0.500, 0.500, 0.221) x1
Cd (0.500, 0.500, 0.735) x1
As (0.000, 0.000, 0.394) x1

Summary:
The calculation puts the final energy at -7.222 eV/atom. For the energy relative to the lowest polymorph listed for this composition, the calculation gives 63 meV per atom.

=====

(7)
The following is a PBE calculation of a geometry-optimized Pu3HgRu structure, from the Alexandria database.

abc: 6.2695 6.2695 3.0423
angles: 90.00 90.00 120.00
Space group P-6m2 (No. 187)
Asymmetric unit:
Pu (0.0832, 0.5416, 0.0000) x3
Hg (0.0000, 0.0000, 0.5000) x1
Ru (0.6667, 0.3333, 0.5000) x1

Summary:
The calculation puts the final energy at -10.119 eV/atom.

=====

(8)
The following is a PBE calculation of a geometry-optimized LaEr3Pb structure, from the Alexandria database.

abc: 7.925 9.312 10.350
angles: 90.00 125.34 90.00
Space group P2_1/c (No. 14)
Asymmetric unit:
La (0.219, 0.082, 0.330) x4
Er (0.098, 0.676, 0.009) x4
Er (0.200, 0.080, 0.972) x4
Er (0.412, 0.115, 0.742) x4
Pb (0.348, 0.709, 0.380) x4

Summary:
The calculation puts the final energy at -4.633 eV/atom.

=====

(9)
The following is a PBE calculation of a geometry-optimized Ce4ReCl5 structure, from the Alexandria database.

abc: 17.976 4.054 8.583
angles: 90.00 105.80 90.00
Space group C2/m (No. 12)
Asymmetric unit:
Ce (0.000, 0.000, 0.230) x4
Ce (0.155, 0.500, 0.093) x4
Re (0.000, 0.500, 0.000) x2
Cl (0.000, 0.500, 0.500) x2
Cl (0.167, 0.000, 0.335) x4
Cl (0.170, 0.000, 0.853) x4

Summary:
The raw formation energy comes out at -1452 meV/atom. The calculation puts the final energy at -5.994 eV/atom.

=====

(10)
The following is a PBE calculation of a geometry-optimized CaBiSe structure, from the Alexandria database.

abc: 4.492 6.052 13.498
angles: 90.00 90.00 90.00
Space group Immm (No. 71)
Asymmetric unit:
Ca (0.000, 0.000, 0.187) x4
Bi (0.000, 0.268, 0.500) x4
Se (0.000, 0.500, 0.173) x4

Summary:
The raw formation energy comes out at -914 meV/atom. The calculation puts the final energy at -4.036 eV/atom.

=====

(11)
The following is a PBE calculation of a geometry-optimized KMnMo2 structure, from the Alexandria database.

abc: 2.675 5.158 5.461
angles: 90.00 90.00 90.00
Space group Pmmm (No. 47)
Asymmetric unit:
K (0.000, 0.000, 0.000) x1
Mn (0.500, 0.500, 0.000) x1
Mo (0.000, 0.500, 0.500) x1
Mo (0.500, 0.000, 0.500) x1

Summary:
The calculation puts the final energy at -6.564 eV/atom. For the energy relative to the lowest polymorph listed for this composition, the calculation gives 665 meV per atom.

=====

(12)
The following is a PBE calculation of a geometry-optimized KFeCo structure, from the Alexandria database.

abc: 3.8625 3.8625 5.5302
angles: 90.00 90.00 120.00
Space group P-6m2 (No. 187)
Asymmetric unit:
K (0.0000, 0.0000, 0.0000) x1
Fe (0.3333, 0.6667, 0.5000) x1
Co (0.6667, 0.3333, 0.5000) x1

Summary:
The calculation puts the final energy at -4.583 eV/atom. For the energy relative to the lowest polymorph listed for this composition, the calculation gives 554 meV per atom.

=====

(13)
The following is a PBE calculation of a geometry-optimized Cs2PaTe2Se6 structure, from the Alexandria database.

abc: 15.643 7.629 8.690
angles: 90.00 121.82 90.00
Space group C2/m (No. 12)
Asymmetric unit:
Cs (0.222, 0.000, 0.224) x4
Pa (0.000, 0.000, 0.500) x2
Te (0.046, 0.500, 0.245) x4
Se (0.074, 0.254, 0.789) x8
Se (0.195, 0.000, 0.622) x4

Summary:
The raw formation energy comes out at -752 meV/atom. The calculation puts the final energy at -4.242 eV/atom.

=====

(14)
The following is a PBE calculation of a geometry-optimized VCd2PdS structure, from the Alexandria database.

abc: 5.274 5.274 4.589
angles: 90.00 90.00 90.00
Space group P4/mmm (No. 123)
Asymmetric unit:
V (0.000, 0.000, 0.000) x1
Cd (0.000, 0.500, 0.000) x2
Pd (0.000, 0.000, 0.500) x1
S (0.500, 0.500, 0.500) x1

Summary:
The raw formation energy comes out at 976 meV/atom. The calculation puts the final energy at -3.078 eV/atom.

=====

(15)
The following is a PBE calculation of a geometry-optimized Tm5IrPd2 structure, from the Alexandria database.

abc: 7.119 7.119 14.634
angles: 90.00 90.00 90.00
Space group I4/mcm (No. 140)
Asymmetric unit:
Tm (0.000, 0.000, 0.000) x4
Tm (0.173, 0.327, 0.151) x16
Ir (0.000, 0.000, 0.250) x4
Pd (0.133, 0.367, 0.500) x8

Summary:
The calculation puts the final energy at -5.953 eV/atom.

=====

(16)
The following is a PBE calculation of a geometry-optimized Hf2Al2Zn structure, from the Alexandria database.

abc: 3.914 16.728 5.541
angles: 90.00 90.00 90.00
Space group Cmc2_1 (No. 36)
Asymmetric unit:
Hf (0.000, 0.009, 0.000) x4
Hf (0.000, 0.219, 0.983) x4
Al (0.000, 0.163, 0.475) x4
Al (0.000, 0.391, 0.244) x4
Zn (0.000, 0.389, 0.729) x4

Summary:
The calculation puts the final energy at -5.960 eV/atom. For the energy relative to the lowest polymorph listed for this composition, the calculation gives 105 meV per atom.

=====

(17)
The following is a PBE calculation of a geometry-optimized CaTlRu structure, from the Alexandria database.

abc: 3.4652 3.4652 6.7222
angles: 90.00 90.00 120.00
Space group P3m1 (No. 156)
Asymmetric unit:
Ca (0.0000, 0.0000, 0.0000) x1
Tl (0.6667, 0.3333, 0.5908) x1
Ru (0.3333, 0.6667, 0.3027) x1

Summary:
The calculation puts the final energy at -4.192 eV/atom.

=====

(18)
The following is a PBE calculation of a geometry-optimized Rb5CdF8 structure, from the Alexandria database.

abc: 8.118 8.118 8.416
angles: 90.00 90.00 90.00
Space group I-4 (No. 82)
Asymmetric unit:
Rb (0.000, 0.000, 0.000) x2
Rb (0.125, 0.247, 0.372) x8
Cd (0.000, 0.500, 0.750) x2
F (0.067, 0.234, 0.707) x8
F (0.067, 0.342, 0.036) x8

Summary:
The raw formation energy comes out at -2364 meV/atom. The calculation puts the final energy at -3.844 eV/atom.

=====

(19)
The following is a PBE calculation of a geometry-optimized Ta4Nb5W3 structure, from the Alexandria database.

abc: 13.556 4.937 7.715
angles: 90.00 119.74 90.00
Space group C2/m (No. 12)
Asymmetric unit:
Ta (0.074, 0.000, 0.417) x4
Ta (0.181, 0.500, 0.381) x4
Nb (0.000, 0.500, 0.000) x2
Nb (0.057, 0.500, 0.699) x4
Nb (0.194, 0.000, 0.865) x4
W (0.000, 0.000, 0.000) x2
W (0.225, 0.000, 0.229) x4

Summary:
The calculation puts the final energy at -10.950 eV/atom.

=====

(20)
The following is a PBE calculation of a geometry-optimized Rb2WI6Cl structure, from the Alexandria database.

abc: 8.563 8.563 12.300
angles: 90.00 90.00 90.00
Space group I4/mmm (No. 139)
Asymmetric unit:
Rb (0.000, 0.500, 0.250) x4
W (0.000, 0.000, 0.000) x2
I (0.000, 0.000, 0.224) x4
I (0.228, 0.228, 0.000) x8
Cl (0.000, 0.000, 0.500) x2

Summary:
The raw formation energy comes out at -551 meV/atom. The calculation puts the final energy at -3.155 eV/atom.

=====

(21)
The following is a PBE calculation of a geometry-optimized CsZrCuCl6 structure, from the Alexandria database.

abc: 6.6623 6.6623 15.5061
angles: 90.00 90.00 120.00
Space group P-31c (No. 163)
Asymmetric unit:
Cs (0.0000, 0.0000, 0.0000) x2
Zr (0.3333, 0.6667, 0.2500) x2
Cu (0.3333, 0.6667, 0.7500) x2
Cl (0.0077, 0.3839, 0.1568) x12

Summary:
The raw formation energy comes out at -1532 meV/atom. The calculation puts the final energy at -4.263 eV/atom.

=====

(22)
The following is a PBE calculation of a geometry-optimized Pr2Ho7Tm structure, from the Alexandria database.

abc: 6.493 28.810 3.505
angles: 90.00 90.00 90.00
Space group Cmmm (No. 65)
Asymmetric unit:
Pr (0.000, 0.208, 0.000) x4
Ho (0.000, 0.000, 0.000) x2
Ho (0.000, 0.316, 0.500) x4
Ho (0.245, 0.403, 0.000) x8
Tm (0.000, 0.500, 0.500) x2

Summary:
The calculation puts the final energy at -4.453 eV/atom. For the energy relative to the lowest polymorph listed for this composition, the calculation gives 131 meV per atom.

=====

(23)
The following is a PBE calculation of a geometry-optimized SmLu2Th structure, from the Alexandria database.

abc: 7.960 7.960 7.960
angles: 90.00 90.00 90.00
Space group Fm-3m (No. 225)
Asymmetric unit:
Sm (0.000, 0.000, 0.000) x4
Lu (0.250, 0.250, 0.250) x8
Th (0.000, 0.000, 0.500) x4

Summary:
The calculation puts the final energy at -5.194 eV/atom. For the energy relative to the lowest polymorph listed for this composition, the calculation gives 87 meV per atom.